DFT (PBE) results for Li3TlHg2 after structural relaxation.

- DOS(E_F) (states/eV/f.u.) = 1.321
- ΔE_f (meV/atom) = -329

CIF file:
```
data_Li3TlHg2
_space_group_name_H-M_alt 'P 1'
_space_group_IT_number 1
_space_group_name_Hall 'P 1'
_cell_length_a 3.313
_cell_length_b 3.313
_cell_length_c 10.510
_cell_angle_alpha 90.00
_cell_angle_beta 90.00
_cell_angle_gamma 90.00
loop_
_atom_site_label
_atom_site_type_symbol
_atom_site_fract_x
_atom_site_fract_y
_atom_site_fract_z
Hg1 Hg 0.500 0.500 0.160
Hg2 Hg 0.500 0.500 0.840
Tl1 Tl 0.500 0.500 0.500
Li1 Li 0.000 0.000 0.683
Li2 Li 0.000 0.000 0.000
Li3 Li 0.000 0.000 0.317
```

***

DFT (PBE) results for LiTl2Hg2 after structural relaxation.

- energy above the most stable polymorph in this dataset (eV per formula unit) = 0.612
- DOS(E_F) (states/eV/f.u.) = 2.723
- ΔE_f (meV/atom) = 46

CIF file:
```
data_LiTl2Hg2
_space_group_name_H-M_alt 'P 1'
_space_group_IT_number 1
_space_group_name_Hall 'P 1'
_cell_length_a 4.464
_cell_length_b 4.464
_cell_length_c 8.181
_cell_angle_alpha 74.17
_cell_angle_beta 74.17
_cell_angle_gamma 90.00
loop_
_atom_site_label
_atom_site_type_symbol
_atom_site_fract_x
_atom_site_fract_y
_atom_site_fract_z
Hg1 Hg 0.407 0.407 0.186
Hg2 Hg 0.593 0.593 0.814
Tl1 Tl 0.250 0.750 0.500
Tl2 Tl 0.750 0.250 0.500
Li1 Li 0.000 0.000 0.000
```

***

Summary of spin magnetization in μB per formula unit
0.000 0.000
(order as listed above)
Summary of mass density in g/cm³
9.02 9.02
(order as listed above)